PBE with a Hubbard U Li5Mn3Ni2O10, optimized geometry; ΔE to the lowest computed polymorph = 79 kJ/mol of formula units
1.0
5.053 0.000 0.000
-0.854 5.090 0.000
-1.755 -2.667 7.200
Li Mn Ni O
5 3 2 10
Cartesian
0.000 0.000 0.000
-0.938 -0.846 5.284
0.911 2.669 0.537
1.533 -0.247 6.663
3.382 3.269 1.916
-0.067 0.975 2.841
1.649 -1.334 3.600
2.511 1.448 4.359
-0.103 1.952 5.886
2.548 0.471 1.314
-1.829 0.816 5.950
-0.907 2.423 3.918
0.807 -0.541 2.032
-0.018 -1.545 6.817
0.895 0.303 4.524
1.550 2.119 2.675
2.463 3.968 0.382
1.638 2.964 5.167
3.351 0.000 3.282
4.273 1.606 1.250